[1]
Density functional theory data (PBE) for a geometry-optimized SrMgSiAu6 structure.

As for the uncorrected formation energy: -0.302 eV per atom. As for the crystal system: orthorhombic. As for the magnetization: 0.000 Bohr magnetons per cell.

Cell and atoms, written as CIF:
```
data_SrMgSiAu6
_symmetry_space_group_name_H-M 'I m m a'
_symmetry_Int_Tables_number 74
_symmetry_space_group_name_Hall '-I 2b 2'
_cell_length_a 7.2099
_cell_length_b 9.5181
_cell_length_c 11.0303
_cell_angle_alpha 90.00
_cell_angle_beta 90.00
_cell_angle_gamma 90.00
loop_
_atom_site_label
_atom_site_type_symbol
_atom_site_fract_x
_atom_site_fract_y
_atom_site_fract_z
Sr1 Sr 0.0000 0.2500 0.2250
Mg1 Mg 0.2500 0.2500 0.7500
Si1 Si 0.0000 0.0000 0.0000
Au1 Au 0.0000 0.2500 0.5397
Au2 Au 0.0000 0.2500 0.9390
Au3 Au 0.2041 0.0046 0.3731
```

***

[2]
Density functional theory data (PBE) for a geometry-optimized KCdPt2C structure.

The value obtained for the uncorrected energy is -10.635 eV per formula unit. As for the crystal system: tetragonal. As for the magnetization: 1.276 Bohr magnetons per cell.

Cell and atoms, written as CIF:
```
data_KCdPt2C
_symmetry_space_group_name_H-M 'P 4/m m m'
_symmetry_Int_Tables_number 123
_symmetry_space_group_name_Hall '-P 4 2'
_cell_length_a 5.1418
_cell_length_b 5.1418
_cell_length_c 4.5302
_cell_angle_alpha 90.00
_cell_angle_beta 90.00
_cell_angle_gamma 90.00
loop_
_atom_site_label
_atom_site_type_symbol
_atom_site_fract_x
_atom_site_fract_y
_atom_site_fract_z
K1 K 0.0000 0.0000 0.0000
Cd1 Cd 0.5000 0.5000 0.5000
Pt1 Pt 0.0000 0.5000 0.0000
C1 C 0.0000 0.0000 0.5000
```